(1)
Entry from Alexandria via LeMat-Bulk: a relaxed structure of LaMgAgRu (PBE).

```
LaMgAgRu
1.0
6.9796 0.0000 0.0000
0.0000 6.9796 0.0000
0.0000 0.0000 6.9796
La Mg Ag Ru
4 4 4 4
direct
0.0000 0.0000 0.0000 La
0.0000 0.5000 0.5000 La
0.5000 0.0000 0.5000 La
0.5000 0.5000 0.0000 La
0.0000 0.0000 0.5000 Mg
0.0000 0.5000 0.0000 Mg
0.5000 0.0000 0.0000 Mg
0.5000 0.5000 0.5000 Mg
0.2500 0.2500 0.2500 Ag
0.2500 0.7500 0.7500 Ag
0.7500 0.2500 0.7500 Ag
0.7500 0.7500 0.2500 Ag
0.2500 0.2500 0.7500 Ru
0.2500 0.7500 0.2500 Ru
0.7500 0.2500 0.2500 Ru
0.7500 0.7500 0.7500 Ru
```

(2)
Entry from Alexandria via LeMat-Bulk: a relaxed structure of Tb6Pm7Dy16 (PBE).

```
Tb6Pm7Dy16
1.0
0.0000 7.9147 7.9147
7.9147 0.0000 7.9147
7.9147 7.9147 0.0000
Tb Pm Dy
6 7 16
direct
0.2347 0.2347 0.7653 Tb
0.2347 0.7653 0.2347 Tb
0.2347 0.7653 0.7653 Tb
0.7653 0.2347 0.2347 Tb
0.7653 0.2347 0.7653 Tb
0.7653 0.7653 0.2347 Tb
0.0000 0.0000 0.5000 Pm
0.0000 0.5000 0.0000 Pm
0.0000 0.5000 0.5000 Pm
0.5000 0.0000 0.0000 Pm
0.5000 0.0000 0.5000 Pm
0.5000 0.5000 0.0000 Pm
0.5000 0.5000 0.5000 Pm
0.1181 0.6273 0.6273 Dy
0.1506 0.1506 0.1506 Dy
0.1506 0.1506 0.5482 Dy
0.1506 0.5482 0.1506 Dy
0.3727 0.3727 0.3727 Dy
0.3727 0.3727 0.8819 Dy
0.3727 0.8819 0.3727 Dy
0.4518 0.8494 0.8494 Dy
0.5482 0.1506 0.1506 Dy
0.6273 0.1181 0.6273 Dy
0.6273 0.6273 0.1181 Dy
0.6273 0.6273 0.6273 Dy
0.8494 0.4518 0.8494 Dy
0.8494 0.8494 0.4518 Dy
0.8494 0.8494 0.8494 Dy
0.8819 0.3727 0.3727 Dy
```

(3)
Entry from Alexandria via LeMat-Bulk: a relaxed structure of TaPRh2 (PBE).

```
TaPRh2
1.0
3.8169 0.0000 0.0000
0.0000 3.8169 0.0000
0.0000 0.0000 7.9792
Ta P Rh
2 2 4
direct
0.0000 0.0000 0.0000 Ta
0.5000 0.5000 0.5000 Ta
0.0000 0.0000 0.5000 P
0.5000 0.5000 0.0000 P
0.0000 0.5000 0.2500 Rh
0.0000 0.5000 0.7500 Rh
0.5000 0.0000 0.2500 Rh
0.5000 0.0000 0.7500 Rh
```

(4)
Entry from Alexandria via LeMat-Bulk: a relaxed structure of MgNiAgAu (PBE).

```
MgNiAgAu
1.0
6.3468 0.0000 0.0000
0.0000 6.3468 0.0000
0.0000 0.0000 6.3468
Mg Ni Ag Au
4 4 4 4
direct
0.0000 0.0000 0.0000 Mg
0.0000 0.5000 0.5000 Mg
0.5000 0.0000 0.5000 Mg
0.5000 0.5000 0.0000 Mg
0.0000 0.0000 0.5000 Ni
0.0000 0.5000 0.0000 Ni
0.5000 0.0000 0.0000 Ni
0.5000 0.5000 0.5000 Ni
0.2500 0.2500 0.2500 Ag
0.2500 0.7500 0.7500 Ag
0.7500 0.2500 0.7500 Ag
0.7500 0.7500 0.2500 Ag
0.2500 0.2500 0.7500 Au
0.2500 0.7500 0.2500 Au
0.7500 0.2500 0.2500 Au
0.7500 0.7500 0.7500 Au
```

Formation energy list, top to bottom, in meV per atom: -47 252 -452 -164